Version a
A plane-wave DFT calculation with GGA-PBE was carried out for a relaxed Nd3SmSc3 crystal.

Cell and atoms, written as CIF:
```
data_Nd3SmSc3
_symmetry_space_group_name_H-M 'P 1'
_symmetry_Int_Tables_number 1
_cell_length_a 8.651
_cell_length_b 8.651
_cell_length_c 8.651
_cell_angle_alpha 58.40
_cell_angle_beta 58.40
_cell_angle_gamma 58.40
loop_
_symmetry_equiv_pos_as_xyz
'x,y,z'
loop_
_atom_site_label
_atom_site_type_symbol
_atom_site_fract_x
_atom_site_fract_y
_atom_site_fract_z
Nd1 Nd 0.715 0.566 0.073
Nd2 Nd 0.073 0.715 0.566
Nd3 Nd 0.566 0.073 0.715
Nd4 Nd 0.434 0.927 0.285
Nd5 Nd 0.927 0.285 0.434
Nd6 Nd 0.285 0.434 0.927
Sm1 Sm 0.344 0.344 0.344
Sm2 Sm 0.656 0.656 0.656
Sc1 Sc 0.725 0.167 0.939
Sc2 Sc 0.167 0.939 0.725
Sc3 Sc 0.939 0.725 0.167
Sc4 Sc 0.061 0.275 0.833
Sc5 Sc 0.833 0.061 0.275
Sc6 Sc 0.275 0.833 0.061
```

***

Version b
A plane-wave DFT calculation with GGA-PBE was carried out for a relaxed Nd3SmSc3 crystal.

Cell and atoms, written as CIF:
```
data_Nd3SmSc3
_symmetry_space_group_name_H-M 'P 1'
_symmetry_Int_Tables_number 1
_cell_length_a 9.234
_cell_length_b 9.234
_cell_length_c 7.814
_cell_angle_alpha 53.78
_cell_angle_beta 53.78
_cell_angle_gamma 60.00
loop_
_symmetry_equiv_pos_as_xyz
'x,y,z'
loop_
_atom_site_label
_atom_site_type_symbol
_atom_site_fract_x
_atom_site_fract_y
_atom_site_fract_z
Nd1 Nd 0.117 0.676 0.252
Nd2 Nd 0.954 0.117 0.252
Nd3 Nd 0.676 0.954 0.252
Nd4 Nd 0.324 0.046 0.748
Nd5 Nd 0.046 0.883 0.748
Nd6 Nd 0.883 0.324 0.748
Sm1 Sm 0.256 0.256 0.231
Sm2 Sm 0.744 0.744 0.769
Sc1 Sc 0.468 0.602 0.742
Sc2 Sc 0.602 0.188 0.742
Sc3 Sc 0.188 0.468 0.742
Sc4 Sc 0.812 0.532 0.258
Sc5 Sc 0.398 0.812 0.258
Sc6 Sc 0.532 0.398 0.258
```

***

Most favorable first, least favorable last: version b, version a

***

Version a
A plane-wave DFT calculation with GGA-PBE was carried out for a relaxed Nd7Sm4Sc crystal.

Cell and atoms, written as CIF:
```
data_Nd7Sm4Sc
_symmetry_space_group_name_H-M 'P 1'
_symmetry_Int_Tables_number 1
_cell_length_a 6.009
_cell_length_b 8.737
_cell_length_c 9.787
_cell_angle_alpha 60.84
_cell_angle_beta 72.12
_cell_angle_gamma 69.89
loop_
_symmetry_equiv_pos_as_xyz
'x,y,z'
loop_
_atom_site_label
_atom_site_type_symbol
_atom_site_fract_x
_atom_site_fract_y
_atom_site_fract_z
Nd1 Nd 0.832 0.950 0.385
Nd2 Nd 0.168 0.050 0.615
Nd3 Nd 0.073 0.564 0.290
Nd4 Nd 0.927 0.436 0.710
Nd5 Nd 0.282 0.557 0.880
Nd6 Nd 0.500 0.000 0.000
Nd7 Nd 0.718 0.443 0.120
Sm1 Sm 0.584 0.279 0.552
Sm2 Sm 0.416 0.721 0.448
Sm3 Sm 0.710 0.811 0.770
Sm4 Sm 0.290 0.189 0.230
Sc1 Sc 0.000 0.000 0.000
```

***

Version b
A plane-wave DFT calculation with GGA-PBE was carried out for a relaxed Nd7Sm4Sc crystal.

Cell and atoms, written as CIF:
```
data_Nd7Sm4Sc
_symmetry_space_group_name_H-M 'P 1'
_symmetry_Int_Tables_number 1
_cell_length_a 7.321
_cell_length_b 6.316
_cell_length_c 9.062
_cell_angle_alpha 103.58
_cell_angle_beta 89.99
_cell_angle_gamma 89.99
loop_
_symmetry_equiv_pos_as_xyz
'x,y,z'
loop_
_atom_site_label
_atom_site_type_symbol
_atom_site_fract_x
_atom_site_fract_y
_atom_site_fract_z
Nd1 Nd 0.753 0.500 0.000
Nd2 Nd 0.247 0.500 0.000
Nd3 Nd 0.000 0.219 0.669
Nd4 Nd 0.000 0.781 0.331
Nd5 Nd 0.500 0.773 0.335
Nd6 Nd 0.500 0.000 0.000
Nd7 Nd 0.500 0.227 0.665
Sm1 Sm 0.754 0.275 0.328
Sm2 Sm 0.246 0.725 0.672
Sm3 Sm 0.754 0.725 0.672
Sm4 Sm 0.246 0.275 0.328
Sc1 Sc 0.000 0.000 0.000
```

***

Most favorable first, least favorable last: version b, version a

***

Version a
A plane-wave DFT calculation with GGA-PBE was carried out for a relaxed Nd8SmSc2 crystal.

Cell and atoms, written as CIF:
```
data_Nd8SmSc2
_symmetry_space_group_name_H-M 'P 1'
_symmetry_Int_Tables_number 1
_cell_length_a 5.545
_cell_length_b 8.453
_cell_length_c 9.365
_cell_angle_alpha 116.83
_cell_angle_beta 107.22
_cell_angle_gamma 90.00
loop_
_symmetry_equiv_pos_as_xyz
'x,y,z'
loop_
_atom_site_label
_atom_site_type_symbol
_atom_site_fract_x
_atom_site_fract_y
_atom_site_fract_z
Nd1 Nd 0.644 0.847 0.288
Nd2 Nd 0.356 0.559 0.712
Nd3 Nd 0.161 0.161 0.322
Nd4 Nd 0.000 0.301 0.000
Nd5 Nd 0.839 0.839 0.678
Nd6 Nd 0.644 0.441 0.288
Nd7 Nd 0.356 0.153 0.712
Nd8 Nd 0.000 0.699 0.000
Sm1 Sm 0.500 0.000 0.000
Sc1 Sc 0.200 0.700 0.401
Sc2 Sc 0.800 0.300 0.599
```

***

Version b
A plane-wave DFT calculation with GGA-PBE was carried out for a relaxed Nd8SmSc2 crystal.

Cell and atoms, written as CIF:
```
data_Nd8SmSc2
_symmetry_space_group_name_H-M 'P 1'
_symmetry_Int_Tables_number 1
_cell_length_a 5.933
_cell_length_b 9.062
_cell_length_c 9.295
_cell_angle_alpha 60.83
_cell_angle_beta 74.92
_cell_angle_gamma 57.75
loop_
_symmetry_equiv_pos_as_xyz
'x,y,z'
loop_
_atom_site_label
_atom_site_type_symbol
_atom_site_fract_x
_atom_site_fract_y
_atom_site_fract_z
Nd1 Nd 0.828 0.097 0.240
Nd2 Nd 0.828 0.337 0.760
Nd3 Nd 0.294 0.421 0.000
Nd4 Nd 0.500 0.792 0.417
Nd5 Nd 0.500 0.208 0.583
Nd6 Nd 0.706 0.579 0.000
Nd7 Nd 0.172 0.663 0.240
Nd8 Nd 0.172 0.903 0.760
Sm1 Sm 0.500 0.000 0.000
Sc1 Sc 0.000 0.310 0.380
Sc2 Sc 0.000 0.690 0.620
```

***

Most favorable first, least favorable last: version a, version b

***

Version a
A plane-wave DFT calculation with GGA-PBE was carried out for a relaxed Nd2Sm8Sc crystal.

Cell and atoms, written as CIF:
```
data_Nd2Sm8Sc
_symmetry_space_group_name_H-M 'P 1'
_symmetry_Int_Tables_number 1
_cell_length_a 5.104
_cell_length_b 8.063
_cell_length_c 9.532
_cell_angle_alpha 104.76
_cell_angle_beta 105.53
_cell_angle_gamma 90.00
loop_
_symmetry_equiv_pos_as_xyz
'x,y,z'
loop_
_atom_site_label
_atom_site_type_symbol
_atom_site_fract_x
_atom_site_fract_y
_atom_site_fract_z
Nd1 Nd 0.226 0.636 0.452
Nd2 Nd 0.774 0.364 0.548
Sm1 Sm 0.589 0.447 0.178
Sm2 Sm 0.320 0.091 0.641
Sm3 Sm 0.134 0.176 0.268
Sm4 Sm 0.045 0.731 0.089
Sm5 Sm 0.866 0.824 0.732
Sm6 Sm 0.680 0.909 0.359
Sm7 Sm 0.411 0.553 0.822
Sm8 Sm 0.955 0.269 0.911
Sc1 Sc 0.500 0.000 0.000
```

***

Version b
A plane-wave DFT calculation with GGA-PBE was carried out for a relaxed Nd2Sm8Sc crystal.

Cell and atoms, written as CIF:
```
data_Nd2Sm8Sc
_symmetry_space_group_name_H-M 'P 1'
_symmetry_Int_Tables_number 1
_cell_length_a 6.761
_cell_length_b 10.080
_cell_length_c 10.080
_cell_angle_alpha 39.31
_cell_angle_beta 60.49
_cell_angle_gamma 60.49
loop_
_symmetry_equiv_pos_as_xyz
'x,y,z'
loop_
_atom_site_label
_atom_site_type_symbol
_atom_site_fract_x
_atom_site_fract_y
_atom_site_fract_z
Nd1 Nd 0.565 0.814 0.814
Nd2 Nd 0.435 0.186 0.186
Sm1 Sm 0.227 0.341 0.821
Sm2 Sm 0.773 0.179 0.659
Sm3 Sm 0.165 0.756 0.756
Sm4 Sm 0.835 0.244 0.244
Sm5 Sm 0.227 0.821 0.341
Sm6 Sm 0.773 0.659 0.179
Sm7 Sm 0.731 0.594 0.594
Sm8 Sm 0.269 0.406 0.406
Sc1 Sc 0.000 0.000 0.000
```

***

Most favorable first, least favorable last: version a, version b